This record from Alexandria describes a relaxed SrSnH2F8 crystal. The functional is GGA-PBE.

```
12
Lattice="4.815 0.000 0.000 -1.520 4.808 0.000 -0.307 -1.105 7.295" Properties=species:S:1:pos:R:3 pbc="T T T"
Sr 0.000 0.000 0.000
Sn -0.153 -0.552 3.648
H 0.369 1.663 6.041
H 2.619 2.041 1.254
F 0.624 0.645 2.222
F 0.476 0.454 5.413
F -0.103 3.129 3.658
F 0.237 2.353 6.784
F 2.751 1.351 0.511
F 3.091 0.574 3.637
F 2.512 3.249 1.882
F 2.365 3.058 5.073
```

Final energy: -4.7746 eV/atom
Space-group type: P-1
Density of states at the Fermi level: 0.0 states/eV per cell